# ReHgAu3 | Alexandria via LeMat-Bulk | PBE | relaxed
data_ReHgAu3
_chemical_formula_sum 'Re1 Hg1 Au3'
_cell_length_a 5.0740
_cell_length_b 5.0740
_cell_length_c 5.0740
_cell_angle_alpha 90.00
_cell_angle_beta 90.00
_cell_angle_gamma 90.00
_symmetry_space_group_name_H-M 'P m -3 m'
_symmetry_Int_Tables_number 221
_symmetry_space_group_name_Hall '-P 4 2 3'
loop_
_atom_site_label
_atom_site_type_symbol
_atom_site_fract_x
_atom_site_fract_y
_atom_site_fract_z
Re1 Re 0.0000 0.0000 0.0000
Hg1 Hg 0.5000 0.5000 0.5000
Au1 Au 0.0000 0.0000 0.5000
# - E_form (eV per atom) = 1.1693
# - energy (eV per atom) = -3.347
# - offset from the most stable computed form (eV/f.u.) = 0.00

=====

# MgZr3Pt | Alexandria via LeMat-Bulk | PBE | relaxed
data_MgZr3Pt
_chemical_formula_sum 'Mg1 Zr3 Pt1'
_cell_length_a 5.1371
_cell_length_b 5.1371
_cell_length_c 5.1371
_cell_angle_alpha 90.00
_cell_angle_beta 90.00
_cell_angle_gamma 90.00
_symmetry_space_group_name_H-M 'P m -3 m'
_symmetry_Int_Tables_number 221
_symmetry_space_group_name_Hall '-P 4 2 3'
loop_
_atom_site_label
_atom_site_type_symbol
_atom_site_fract_x
_atom_site_fract_y
_atom_site_fract_z
Mg1 Mg 0.0000 0.0000 0.0000
Zr1 Zr 0.0000 0.5000 0.5000
Pt1 Pt 0.5000 0.5000 0.5000
# - E_form (eV per atom) = 0.1666
# - energy (eV per atom) = -6.489
# - offset from the most stable computed form (eV/f.u.) = 0.00

=====

# RbSrSn3 | Alexandria via LeMat-Bulk | PBE | relaxed
data_RbSrSn3
_chemical_formula_sum 'Rb1 Sr1 Sn3'
_cell_length_a 6.1778
_cell_length_b 6.1778
_cell_length_c 6.1778
_cell_angle_alpha 90.00
_cell_angle_beta 90.00
_cell_angle_gamma 90.00
_symmetry_space_group_name_H-M 'P m -3 m'
_symmetry_Int_Tables_number 221
_symmetry_space_group_name_Hall '-P 4 2 3'
loop_
_atom_site_label
_atom_site_type_symbol
_atom_site_fract_x
_atom_site_fract_y
_atom_site_fract_z
Rb1 Rb 0.0000 0.0000 0.0000
Sr1 Sr 0.5000 0.5000 0.5000
Sn1 Sn 0.0000 0.5000 0.5000
# - E_form (eV per atom) = 0.3943
# - energy (eV per atom) = -2.537
# - offset from the most stable computed form (eV/f.u.) = 0.00

=====

| no. | V (Å³ per atom) |
| --- | --- |
| 1 | 26.13 |
| 2 | 27.11 |
| 3 | 47.16 |